The following is a GGA-PBE calculation of an optimized crystal structure of In2SiCl, from Alexandria via LeMat-Bulk.

Computed properties:
space-group type	I-42d, No. 122
energy above the most stable polymorph in this dataset	0.140	eV/atom
formation energy from raw total energies	-0.4	meV/atom
raw total energy	-25.50	eV/cell

Lattice parameters (Å, degrees): 6.2829 6.2829 7.9956 66.87 66.87 90.00
With the nearest neighbours (Å) after each atom.
Sites, in units of the cell vectors:
Cl 0.0000 0.0000 0.0000  4 In 2.92
Cl 0.7500 0.2500 0.5000  4 In 2.92
In 0.1646 0.6250 0.2500  2 Si 2.64, 2 Cl 2.92
In 0.5854 0.1250 0.2500  2 Si 2.64, 2 Cl 2.92
In 0.3750 0.4146 0.7500  2 Si 2.64, 2 Cl 2.92
In 0.8750 0.8354 0.7500  2 Si 2.64, 2 Cl 2.92
Si 0.5000 0.5000 0.0000  4 In 2.64
Si 0.2500 0.7500 0.5000  4 In 2.64

***

The following is a GGA-PBE calculation of an optimized crystal structure of InSi2Cl, from Alexandria via LeMat-Bulk.

Computed properties:
space-group type	Cmm2, No. 35
energy above the most stable polymorph in this dataset	0.263	eV/atom
formation energy from raw total energies	193.0	meV/atom
raw total energy	-14.66	eV/cell

Lattice parameters (Å, degrees): 3.3140 3.3140 8.5442 90.00 90.00 106.93
With the nearest neighbours (Å) after each atom.
Sites, in units of the cell vectors:
Si 0.5000 0.5000 0.1928  2 Si 2.38
Si 0.0000 0.0000 0.0369  2 Si 2.38
In 0.5000 0.5000 0.7480  2 Cl 2.76
Cl 0.0000 0.0000 0.5223  2 In 2.76

***

The following is a GGA-PBE calculation of an optimized crystal structure of In4SiCl, from Alexandria via LeMat-Bulk.

Computed properties:
space-group type	F-43m, No. 216
formation energy from raw total energies	264.0	meV/atom
raw total energy	-16.64	eV/cell

Lattice parameters (Å, degrees): 6.1252 6.1252 6.1252 60.00 60.00 60.00
With the nearest neighbours (Å) after each atom.
Sites, in units of the cell vectors:
In 0.3751 0.3751 0.8746  6 In 3.06-3.07
In 0.3751 0.3751 0.3751  6 In 3.06-3.07
In 0.3751 0.8746 0.3751  6 In 3.06-3.07
In 0.8746 0.3751 0.3751  6 In 3.06-3.07
Cl 0.0000 0.0000 0.0000  12 In 3.59, 4 Si 3.75
Si 0.7500 0.7500 0.7500  12 In 3.59, 4 Cl 3.75

***

The following is a GGA-PBE calculation of an optimized crystal structure of InSiCl2, from Alexandria via LeMat-Bulk.

Computed properties:
space-group type	Cm, No. 8
energy above the most stable polymorph in this dataset	0.243	eV/atom
formation energy from raw total energies	-193.9	meV/atom
raw total energy	-12.63	eV/cell

Lattice parameters (Å, degrees): 7.5548 7.5548 4.9053 73.40 73.40 26.35
With the nearest neighbours (Å) after each atom.
Sites, in units of the cell vectors:
In 0.4259 0.4259 0.6856  2 Cl 2.67, 2 Si 2.85
Cl 0.2719 0.2719 0.2733  2 Si 2.51
Cl 0.0256 0.0256 0.9013  2 In 2.67
Si 0.7767 0.7767 0.6398  2 Cl 2.51

***

Which value of formation energy from raw total energies does entry 2 give?
193.0 meV/atom